Material: NiAgPO2
Method: DFT, GGA+U
State: relaxed

Output
**Energy relative to the lowest polymorph listed for this composition**: 2.76 eV per formula unit
**Space-group type**: P4/mmm (123)

a = 3.9310 Å, b = 3.9310 Å, c = 5.0882 Å
α = 90.00°, β = 90.00°, γ = 90.00°
Atoms (fractional coordinates):
O 0.5000 0.0000 0.0000
O 0.0000 0.5000 0.0000
Ni 0.5000 0.5000 0.5000
Ag 0.0000 0.0000 0.0000
P 0.0000 0.0000 0.5000